PBE with a Hubbard U FeBN2F, relaxed; DFT total energy = -4.745 eV per atom; energy relative to the lowest polymorph listed for this composition = 6.14 eV per formula unit
1.0
3.8252 0.0000 0.0000
0.0000 3.8252 0.0000
0.0000 0.0000 3.9794
Fe B N F
1 1 2 1
Cartesian
0.0000 0.0000 0.0000 Fe
1.9126 1.9126 1.9897 B
0.0000 1.9126 0.0000 N
1.9126 0.0000 0.0000 N
0.0000 0.0000 1.9897 F